Density functional theory data (PBE) for Rb2Cu3RhF12 after structural relaxation.

Cell lengths 7.1439, 7.1439, 19.3151 Å; angles 90.00, 90.00, 120.00 degrees
Closest atoms and distances in Å follow each position.
Space group R-3m (No. 166, hexagonal axes)
Inequivalent atoms, fractional coordinates:
Rb  0.0000  0.0000  0.1141  6 F 3.06-3.22
Cu  0.0000  0.5000  0.0000  4 F 1.93
Rh  0.0000  0.0000  0.5000  6 F 1.97
F  0.0641  0.5320  0.1119  1 Rh 1.97, 1 Cu 2.20
F  0.0669  0.5334  0.3547  2 Cu 1.93

Computed properties:
The value obtained for the density is 4.041 g cm⁻³. The value obtained for the uncorrected formation energy is -1867 meV per atom.

Density functional theory data (PBE) for Rb2CuRhF6 after structural relaxation.

Cell lengths 8.4465, 8.4465, 8.4465 Å; angles 90.00, 90.00, 90.00 degrees
Closest atoms and distances in Å follow each position.
Space group Fm-3m (No. 225)
Inequivalent atoms, fractional coordinates:
Rb  0.2500  0.2500  0.2500  12 F 2.99
Cu  0.0000  0.0000  0.0000  6 F 2.14
Rh  0.0000  0.0000  0.5000  6 F 2.08
F  0.0000  0.0000  0.2537  1 Rh 2.08, 1 Cu 2.14

Computed properties:
The value obtained for the density is 4.975 g cm⁻³. The value obtained for the uncorrected formation energy is -2016 meV per atom.

Density functional theory data (PBE) for RbCuRuF6 after structural relaxation.

Cell lengths 7.2176, 7.5511, 10.8468 Å; angles 90.00, 90.00, 90.00 degrees
Closest atoms and distances in Å follow each position.
Space group Imma (No. 74)
Inequivalent atoms, fractional coordinates:
Rb  0.0000  0.2500  0.0953  5 F 3.03-3.08
Cu  0.2500  0.2500  0.7500  6 F 1.94-2.15
Ru  0.0000  0.0000  0.5000  6 F 1.98-2.03
F  0.0000  0.2500  0.4306  2 Ru 2.03
F  0.0000  0.2500  0.8158  2 Cu 1.94
F  0.2033  0.0407  0.6197  1 Ru 1.98, 1 Cu 2.15

Computed properties:
The value obtained for the density is 4.091 g cm⁻³. The value obtained for the uncorrected formation energy is -1887 meV per atom.

Density functional theory data (PBE) for Rb2CuRuF6 after structural relaxation.

Cell lengths 5.9785, 5.9785, 8.6224 Å; angles 90.00, 90.00, 90.00 degrees
Closest atoms and distances in Å follow each position.
Space group I4/mmm (No. 139)
Inequivalent atoms, fractional coordinates:
Rb  0.0000  0.5000  0.2500  12 F 2.99-3.02
Cu  0.0000  0.0000  0.0000  6 F 2.15-2.25
Ru  0.0000  0.0000  0.5000  6 F 2.06-2.07
F  0.0000  0.0000  0.2610  1 Ru 2.06, 1 Cu 2.25
F  0.2452  0.2452  0.5000  1 Ru 2.07, 1 Cu 2.15

Computed properties:
The value obtained for the density is 4.844 g cm⁻³. The value obtained for the uncorrected formation energy is -1977 meV per atom.

Density functional theory data (PBE) for Rb2CuSbF6 after structural relaxation.

Cell lengths 6.2183, 6.2183, 9.2133 Å; angles 90.00, 90.00, 90.00 degrees
Closest atoms and distances in Å follow each position.
Space group I4/mmm (No. 139)
Inequivalent atoms, fractional coordinates:
Rb  0.0000  0.5000  0.2500  12 F 3.11-3.18
Cu  0.0000  0.0000  0.0000  6 F 2.17-2.40
Sb  0.0000  0.0000  0.5000  6 F 2.21-2.23
F  0.0000  0.0000  0.2605  1 Sb 2.21, 1 Cu 2.40
F  0.2468  0.2468  0.0000  1 Cu 2.17, 1 Sb 2.23

Computed properties:
The value obtained for the density is 4.384 g cm⁻³. The value obtained for the uncorrected formation energy is -2231 meV per atom.

Density functional theory data (PBE) for RbScCuF6 after structural relaxation.

Cell lengths 7.2772, 7.7226, 10.8320 Å; angles 90.00, 90.00, 90.00 degrees
Closest atoms and distances in Å follow each position.
Space group Imma (No. 74)
Inequivalent atoms, fractional coordinates:
Rb  0.0000  0.2500  0.0864  5 F 2.99-3.21
Sc  0.0000  0.0000  0.5000  6 F 2.02-2.06
Cu  0.2500  0.2500  0.7500  6 F 1.93-2.09
F  0.0000  0.2500  0.4340  2 Sc 2.06
F  0.0000  0.2500  0.8107  2 Cu 1.93
F  0.2042  0.0544  0.6199  1 Sc 2.02, 1 Cu 2.09

Computed properties:
The value obtained for the density is 3.360 g cm⁻³. The value obtained for the uncorrected formation energy is -2899 meV per atom.

Density functional theory data (PBE) for RbScCu2F8 after structural relaxation.

Cell lengths 5.3068, 5.3068, 24.3416 Å; angles 90.00, 90.00, 120.00 degrees
Closest atoms and distances in Å follow each position.
Space group R32 (No. 155, hexagonal axes)
Inequivalent atoms, fractional coordinates:
Rb  0.0000  0.0000  0.0000  12 F 3.08-3.33
Sc  0.0000  0.0000  0.5000  6 F 2.05
Cu  0.0000  0.0000  0.2442  4 F 1.82-1.97
F  0.0000  0.0000  0.3188  1 Cu 1.82
F  0.0029  0.3006  0.5532  1 Cu 1.97, 1 Sc 2.05

Computed properties:
The value obtained for the density is 3.436 g cm⁻³. The value obtained for the uncorrected formation energy is -2389 meV per atom.

Density functional theory data (PBE) for Rb2CuSeF6 after structural relaxation.

Cell lengths 6.2932, 6.2932, 8.8654 Å; angles 90.00, 90.00, 90.00 degrees
Closest atoms and distances in Å follow each position.
Space group I4/mmm (No. 139)
Inequivalent atoms, fractional coordinates:
Rb  0.0000  0.5000  0.2500  12 F 3.16
Cu  0.0000  0.0000  0.0000  4 F 1.92
Se  0.0000  0.0000  0.5000  2 F 1.95
F  0.0000  0.0000  0.2797  1 Se 1.95
F  0.2157  0.2157  0.0000  1 Cu 1.92

Computed properties:
The value obtained for the density is 4.043 g cm⁻³. The value obtained for the uncorrected formation energy is -1914 meV per atom.

Density functional theory data (PBE) for Rb2SmCuF6 after structural relaxation.

Cell lengths 5.9017, 6.4977, 6.8169 Å; angles 113.43, 112.97, 97.75 degrees
Closest atoms and distances in Å follow each position.
Space group P-1 (No. 2)
Inequivalent atoms, fractional coordinates:
Rb  0.2366  0.2186  0.4413  6 F 2.78-3.09
Sm  0.0000  0.5000  0.0000  6 F 2.24-2.30
Cu  0.5000  0.0000  0.0000  2 F 1.87
F  0.1330  0.7567  0.3928  1 Sm 2.24
F  0.2246  0.8154  0.9955  1 Cu 1.87
F  0.3433  0.3888  0.1436  1 Sm 2.24

Computed properties:
The value obtained for the density is 3.994 g cm⁻³. The value obtained for the uncorrected formation energy is -2903 meV per atom.

Density functional theory data (PBE) for RbCu2SnF8 after structural relaxation.

Cell lengths 5.0794, 5.3893, 7.8060 Å; angles 74.43, 77.11, 78.83 degrees
Closest atoms and distances in Å follow each position.
Space group P-1 (No. 2)
Inequivalent atoms, fractional coordinates:
Rb  0.0000  0.0000  0.0000  8 F 2.82-3.03
Cu  0.4329  0.4694  0.2103  4 F 1.95-2.14
Sn  0.0000  0.0000  0.5000  6 F 2.01-2.02
F  0.1589  0.7575  0.7075  1 Sn 2.01
F  0.2225  0.7858  0.3270  1 Sn 2.02, 1 Cu 2.14
F  0.2930  0.2313  0.4414  1 Cu 1.99, 1 Sn 2.02
F  0.4230  0.2879  0.0104  2 Cu 1.95-2.07

Computed properties:
The value obtained for the density is 4.040 g cm⁻³. The value obtained for the uncorrected formation energy is -2070 meV per atom.

Density functional theory data (PBE) for Rb2CuSnF6 after structural relaxation.

Cell lengths 6.1948, 6.1948, 8.8272 Å; angles 90.00, 90.00, 90.00 degrees
Closest atoms and distances in Å follow each position.
Space group I4/mmm (No. 139)
Inequivalent atoms, fractional coordinates:
Rb  0.0000  0.5000  0.2500  12 F 3.10-3.11
Cu  0.0000  0.0000  0.0000  6 F 2.11-2.15
Sn  0.0000  0.0000  0.5000  6 F 2.26-2.27
F  0.0000  0.0000  0.2437  1 Cu 2.15, 1 Sn 2.26
F  0.2414  0.2414  0.0000  1 Cu 2.11, 1 Sn 2.27

Computed properties:
The value obtained for the density is 4.580 g cm⁻³. The value obtained for the uncorrected formation energy is -2289 meV per atom.

Density functional theory data (PBE) for Rb2SrCu3F12 after structural relaxation.

Cell lengths 7.5376, 7.5376, 17.1389 Å; angles 90.00, 90.00, 120.00 degrees
Closest atoms and distances in Å follow each position.
Space group R-3m (No. 166, hexagonal axes)
Inequivalent atoms, fractional coordinates:
Rb  0.0000  0.0000  0.1128  3 F 2.78
Sr  0.0000  0.0000  0.5000  6 F 2.51
Cu  0.0000  0.5000  0.0000  6 F 1.89-1.98
F  0.0213  0.5107  0.8898  1 Cu 1.89
F  0.0829  0.5414  0.3201  2 Cu 1.98

Computed properties:
The value obtained for the density is 4.000 g cm⁻³. The value obtained for the uncorrected formation energy is -2207 meV per atom.

Density functional theory data (PBE) for Rb4SrCu3F12 after structural relaxation.

Cell lengths 8.5981, 8.5981, 8.5981 Å; angles 90.00, 90.00, 90.00 degrees
Closest atoms and distances in Å follow each position.
Space group Im-3m (No. 229)
Inequivalent atoms, fractional coordinates:
Rb  0.2500  0.2500  0.2500  12 F 3.04-3.05
Sr  0.0000  0.0000  0.0000  6 F 2.35
Cu  0.0000  0.0000  0.5000  6 F 1.95-2.15
F  0.0000  0.0000  0.2735  1 Cu 1.95
F  0.0000  0.2500  0.5000  2 Cu 2.15

Computed properties:
The value obtained for the density is 4.431 g cm⁻³. The value obtained for the uncorrected formation energy is -2393 meV per atom.

Density functional theory data (PBE) for RbSrCu2F8 after structural relaxation.

Cell lengths 5.5590, 5.5590, 8.7829 Å; angles 90.00, 90.00, 120.00 degrees
Closest atoms and distances in Å follow each position.
Space group P-3 (No. 147)
Inequivalent atoms, fractional coordinates:
Rb  0.0000  0.0000  0.0000  12 F 3.21-3.27
Sr  0.0000  0.0000  0.5000  6 F 2.42
Cu  0.3333  0.6667  0.7785  4 F 1.85-1.87
F  0.0536  0.3422  0.6875  1 Cu 1.87
F  0.3333  0.6667  0.9892  1 Cu 1.85

Computed properties:
The value obtained for the density is 3.194 g cm⁻³. The value obtained for the uncorrected formation energy is -2145 meV per atom.

Density functional theory data (PBE) for Rb2SrCu2F6 after structural relaxation.

Cell lengths 11.5350, 6.2426, 7.0305 Å; angles 90.00, 122.51, 90.00 degrees
Closest atoms and distances in Å follow each position.
Space group C2/m (No. 12)
Inequivalent atoms, fractional coordinates:
Rb  0.2201  0.0000  0.1838  5 F 2.83-3.01
Sr  0.0000  0.0000  0.5000  6 F 2.41-2.43
Cu  0.0601  0.5000  0.2186  3 F 1.92-2.03
F  0.0624  0.2577  0.7961  1 Cu 2.03
F  0.2427  0.0000  0.6301  1 Cu 1.92

Computed properties:
The value obtained for the density is 3.887 g cm⁻³. The value obtained for the uncorrected formation energy is -2381 meV per atom.

Density functional theory data (PBE) for Rb2TaCuF6 after structural relaxation.

Cell lengths 6.6494, 6.6494, 8.1890 Å; angles 90.00, 90.00, 90.00 degrees
Closest atoms and distances in Å follow each position.
Space group I4/mmm (No. 139)
Inequivalent atoms, fractional coordinates:
Rb  0.0000  0.5000  0.2500  12 F 3.13-3.33
Ta  0.0000  0.0000  0.0000  6 F 2.05-2.17
Cu  0.0000  0.0000  0.5000  2 F 1.92
F  0.0000  0.0000  0.2651  1 Cu 1.92
F  0.2178  0.2178  0.0000  1 Ta 2.05

Computed properties:
The value obtained for the density is 4.856 g cm⁻³. The value obtained for the uncorrected formation energy is -2297 meV per atom.

Density functional theory data (PBE) for Rb2TbCuF6 after structural relaxation.

Cell lengths 8.2524, 9.5696, 6.3045 Å; angles 90.00, 130.85, 90.00 degrees
Closest atoms and distances in Å follow each position.
Space group C2/m (No. 12)
Inequivalent atoms, fractional coordinates:
Rb  0.0000  0.2501  0.0000  12 F 3.16-3.39
Tb  0.0000  0.0000  0.5000  6 F 2.18-2.21
Cu  0.0000  0.5000  0.5000  2 F 1.92
F  0.0000  0.2279  0.5000  1 Tb 2.18
F  0.2277  0.0000  0.9573  1 Tb 2.18
F  0.2316  0.5000  0.4982  1 Cu 1.92

Computed properties:
The value obtained for the density is 4.474 g cm⁻³. The value obtained for the uncorrected formation energy is -2921 meV per atom.

Density functional theory data (PBE) for RbTbCu2F8 after structural relaxation.

Cell lengths 5.7712, 5.7712, 10.7287 Å; angles 90.00, 90.00, 90.00 degrees
Closest atoms and distances in Å follow each position.
Space group I-4 (No. 82)
Inequivalent atoms, fractional coordinates:
Rb  0.0000  0.0000  0.0000  8 F 2.75-2.87
Tb  0.0000  0.5000  0.7500  8 F 2.29-2.35
Cu  0.0000  0.0000  0.5000  4 F 1.92
Cu  0.0000  0.5000  0.2500  4 F 1.91
F  0.0860  0.2976  0.5655  1 Cu 1.92
F  0.1920  0.7597  0.2103  1 Cu 1.91

Computed properties:
The value obtained for the density is 4.865 g cm⁻³. The value obtained for the uncorrected formation energy is -2551 meV per atom.

Density functional theory data (PBE) for Rb2CuTcF6 after structural relaxation.

Cell lengths 6.0056, 6.0056, 8.8707 Å; angles 90.00, 90.00, 90.00 degrees
Closest atoms and distances in Å follow each position.
Space group I4/mmm (No. 139)
Inequivalent atoms, fractional coordinates:
Rb  0.0000  0.5000  0.2500  12 F 3.01-3.07
Cu  0.0000  0.0000  0.0000  4 F 2.14
Tc  0.0000  0.0000  0.5000  6 F 2.01-2.11
F  0.0000  0.0000  0.2730  1 Tc 2.01
F  0.2479  0.2479  0.5000  1 Tc 2.11, 1 Cu 2.14

Computed properties:
The value obtained for the density is 4.634 g cm⁻³. The value obtained for the uncorrected formation energy is -2061 meV per atom.

Density functional theory data (PBE) for RbCuTe2F after structural relaxation.

Cell lengths 6.7478, 6.7478, 3.4841 Å; angles 90.00, 90.00, 90.00 degrees
Closest atoms and distances in Å follow each position.
Space group P4/mmm (No. 123)
Inequivalent atoms, fractional coordinates:
Rb  0.0000  0.0000  0.0000  2 Rb 3.48, 8 Te 3.80
Cu  0.5000  0.5000  0.0000  2 F 1.74
Te  0.0000  0.5000  0.5000  2 F 3.37, 2 Te 3.48
F  0.5000  0.5000  0.5000  2 Cu 1.74

Computed properties:
The value obtained for the density is 4.430 g cm⁻³. The value obtained for the uncorrected formation energy is -360 meV per atom.